[1]
Material: Mg2VSe
Method: DFT, PBE
State: relaxed

Lattice parameters (Å, degrees): 8.007 8.007 6.277 50.38 50.38 90.00
Last column: magnetic moment on the atom in μB.
Element x y z (fractional)
Mg (0.673, 0.125, 0.250)  -0.03
Mg (0.077, 0.625, 0.250)  -0.03
Mg (0.375, 0.327, 0.750)  -0.03
Mg (0.875, 0.923, 0.750)  -0.03
Se (0.000, 0.000, 0.000)  -0.03
Se (0.750, 0.250, 0.500)  -0.03
V (0.500, 0.500, 0.000)  2.65
V (0.250, 0.750, 0.500)  2.65



[2]
Material: MgVSe
Method: DFT, PBE
State: relaxed

Output
Polymorph energy (0 for the lowest one) = 154 meV/atom

Lattice parameters (Å, degrees): 5.436 3.269 6.222 90.00 90.00 90.00
Last column: magnetic moment on the atom in μB.
Element x y z (fractional)
Mg (0.250, 0.500, 0.674)  -0.01
Mg (0.750, 0.500, 0.326)  -0.01
V (0.000, 0.000, 0.000)  0.64
V (0.500, 0.000, 0.000)  0.64
Se (0.250, 0.500, 0.235)  -0.01
Se (0.750, 0.500, 0.765)  -0.01



[3]
Material: MgVSe
Method: DFT, PBE
State: relaxed

Output
Polymorph energy (0 for the lowest one) = 166 meV/atom

Lattice parameters (Å, degrees): 3.340 4.637 8.181 86.13 79.26 89.06
Element x y z (fractional)
Mg (0.586, 0.212, 0.315)
Mg (0.414, 0.788, 0.685)
V (0.934, 0.298, 0.595)
V (0.066, 0.702, 0.405)
Se (0.328, 0.272, 0.831)
Se (0.672, 0.728, 0.169)



[4]
Material: MgVSe3
Method: DFT, PBE
State: relaxed

Output
Polymorph energy (0 for the lowest one) = 0 meV/atom

Lattice parameters (Å, degrees): 4.874 4.874 4.874 90.00 90.00 90.00
Last column: magnetic moment on the atom in μB.
Element x y z (fractional)
Mg (0.500, 0.500, 0.500)  0.04
Se (0.000, 0.500, 0.000)  -0.08
Se (0.000, 0.000, 0.500)  -0.08
Se (0.500, 0.000, 0.000)  -0.08
V (0.000, 0.000, 0.000)  0.93



[5]
Material: MgVSe
Method: DFT, PBE
State: relaxed

Output
Polymorph energy (0 for the lowest one) = 185 meV/atom

Lattice parameters (Å, degrees): 3.894 6.587 9.604 90.00 109.68 90.00
Element x y z (fractional)
Mg (0.589, 0.290, 0.347)
Mg (0.411, 0.290, 0.653)
Mg (0.589, 0.790, 0.847)
Mg (0.411, 0.790, 0.153)
V (0.861, 0.126, 0.068)
V (0.139, 0.126, 0.932)
V (0.861, 0.626, 0.568)
V (0.139, 0.626, 0.432)
Se (0.065, 0.979, 0.329)
Se (0.935, 0.979, 0.671)
Se (0.065, 0.479, 0.829)
Se (0.935, 0.479, 0.171)



[6]
Material: YMg2VSe
Method: DFT, PBE
State: relaxed

Lattice parameters (Å, degrees): 4.941 4.941 5.405 90.00 90.00 90.00
Last column: magnetic moment on the atom in μB.
Element x y z (fractional)
Y (0.000, 0.000, 0.500)  0.10
Mg (0.000, 0.500, 0.000)  -0.01
Mg (0.500, 0.000, 0.000)  -0.01
Se (0.000, 0.000, 0.000)  -0.05
V (0.500, 0.500, 0.500)  0.36



| no. | final energy (eV/atom) | D(E_F) (states/eV/atom) | formation energy without anion corrections (eV/atom) |
| --- | --- | --- | --- |
| 1 | -3.848 | 1.0254 | 0.10 |
| 2 | -5.034 | 0.5425 | -0.30 |
| 3 | -5.022 | 0.6113 | -0.29 |
| 4 | -4.462 | 0.9795 | -0.23 |
| 5 | -5.003 | 0.7791 | -0.27 |
| 6 | -4.024 | 1.4020 | 0.43 |